Here is a geometry-optimized Ta2CuW structure from the Alexandria database. Energies are from GGA-PBE.

Computed properties:
DOS at the Fermi energy   3.650 states/eV/cell
Offset from the most stable computed form   0.1586 eV/atom
Calculated volume   16.39 Å³/atom
DFT formation energy   0.1908 eV/atom

a = 4.993 Å, b = 4.993 Å, c = 4.993 Å
α = 137.27°, β = 127.71°, γ = 69.74°
Element x y z (fractional)
Ta 0.998 0.998 0.000
Ta 0.502 0.502 0.000
Cu 0.250 0.750 0.500
W 0.750 0.250 0.500